Material: La3PmEr8
Method: DFT, PBE
State: optimized geometry

SG: I-42m (121)
Calculated formation energy: 0.61 eV/atom
V: 36.317 Å³ per atom

Unit cell a=8.3910 b=8.3910 c=8.3910 alpha=116.77 beta=116.77 gamma=95.69
Last column: nearest neighbours and their distance in Å.
Fractional positions:
La 0.0000 0.0000 0.0000  8 Er 3.15-3.24
La 0.2500 0.7500 0.5000  4 Er 3.48
La 0.7500 0.2500 0.5000  4 Er 3.48
Pm 0.5000 0.5000 0.0000  8 Er 3.07-3.18
Er 0.1291 0.1291 0.7518  3 Er 3.09-3.24, 1 Pm 3.18, 1 La 3.24
Er 0.2464 0.7401 0.0000  1 Pm 3.07, 1 La 3.15, 2 Er 3.21-3.24
Er 0.2599 0.2599 0.5063  1 Pm 3.07, 1 La 3.15, 2 Er 3.21-3.24
Er 0.3772 0.3772 0.2482  3 Er 3.09-3.24, 1 Pm 3.18, 1 La 3.24
Er 0.6228 0.8709 0.0000  3 Er 3.09-3.24, 1 Pm 3.18, 1 La 3.24
Er 0.7401 0.2464 0.0000  1 Pm 3.07, 1 La 3.15, 2 Er 3.21-3.24
Er 0.7536 0.7536 0.4937  1 Pm 3.07, 1 La 3.15, 2 Er 3.21-3.24
Er 0.8709 0.6228 0.0000  3 Er 3.09-3.24, 1 Pm 3.18, 1 La 3.24


Material: LaPm2Er3
Method: DFT, PBE
State: optimized geometry

SG: C2/m (12)
Calculated formation energy: 0.03 eV/atom
V: 32.928 Å³ per atom

Unit cell a=8.0469 b=8.0469 c=11.3662 alpha=115.10 beta=115.10 gamma=36.89
Last column: nearest neighbours and their distance in Å.
Fractional positions:
La 0.1257 0.1257 0.1292  7 Pm 3.60-3.66, 4 Er 3.60-3.63, 1 La 3.64
La 0.8743 0.8743 0.8708  7 Pm 3.60-3.66, 4 Er 3.60-3.63, 1 La 3.64
Pm 0.2052 0.2052 0.8699  5 Pm 3.57-3.67, 4 Er 3.58-3.62, 3 La 3.62-3.66
Pm 0.4585 0.4585 0.1291  4 Pm 3.57-3.68, 4 Er 3.59-3.63, 4 La 3.60-3.66
Pm 0.5415 0.5415 0.8709  4 Pm 3.57-3.68, 4 Er 3.59-3.63, 4 La 3.60-3.66
Pm 0.7948 0.7948 0.1301  5 Pm 3.57-3.67, 4 Er 3.58-3.62, 3 La 3.62-3.66
Er 0.0427 0.0427 0.3804  8 Er 3.50-3.61, 3 Pm 3.58-3.61, 1 La 3.60
Er 0.2890 0.2890 0.6178  8 Er 3.50-3.61, 2 La 3.62, 2 Pm 3.62-3.63
Er 0.3776 0.3776 0.3812  8 Er 3.50-3.60, 3 Pm 3.59-3.61, 1 La 3.63
Er 0.6224 0.6224 0.6188  8 Er 3.50-3.60, 3 Pm 3.59-3.61, 1 La 3.63
Er 0.7110 0.7110 0.3822  8 Er 3.50-3.61, 2 La 3.62, 2 Pm 3.62-3.63
Er 0.9573 0.9573 0.6196  8 Er 3.50-3.61, 3 Pm 3.58-3.61, 1 La 3.60


Material: La4PmEr2
Method: DFT, PBE
State: optimized geometry

SG: P1 (1)
Calculated formation energy: 0.07 eV/atom
Energy relative to the lowest polymorph listed for this composition: 0 meV per atom
V: 35.024 Å³ per atom

Unit cell a=6.5387 b=6.9009 c=12.7610 alpha=83.74 beta=75.16 gamma=61.77
Last column: nearest neighbours and their distance in Å.
Fractional positions:
La 0.0000 0.0000 0.0000  5 La 3.41-3.71, 2 Er 3.60-3.68, 2 Pm 3.63-3.71
La 0.0193 0.4551 0.0677  4 La 3.41-3.75, 4 Er 3.53-3.70, 2 Pm 3.75-3.78
La 0.3863 0.2353 0.5009  5 La 3.42-3.70, 2 Er 3.58-3.65, 2 Pm 3.66-3.75
La 0.4176 0.7389 0.4254  5 La 3.41-3.71, 2 Er 3.59-3.68, 2 Pm 3.63-3.71
La 0.5398 0.5033 0.9254  5 La 3.42-3.70, 2 Er 3.58-3.65, 2 Pm 3.66-3.75
La 0.6149 0.9623 0.8577  4 La 3.42-3.74, 4 Er 3.51-3.71, 2 Pm 3.72-3.81
La 0.8522 0.7752 0.5680  4 La 3.42-3.74, 4 Er 3.52-3.70, 2 Pm 3.71-3.81
La 0.9593 0.2835 0.3581  4 La 3.41-3.75, 4 Er 3.53-3.70, 2 Pm 3.75-3.78
Pm 0.2424 0.8675 0.7127  4 Er 3.48-3.66, 8 La 3.63-3.81
Pm 0.4927 0.3683 0.2130  4 Er 3.49-3.65, 8 La 3.66-3.78
Er 0.1343 0.4162 0.7780  2 Pm 3.48-3.66, 6 La 3.51-3.71, 2 Er 3.68-3.69
Er 0.4510 0.9117 0.1483  2 Pm 3.49-3.65, 7 La 3.53-3.90, 2 Er 3.67-3.68
Er 0.7482 0.3196 0.6483  2 Pm 3.48-3.66, 6 La 3.52-3.70, 2 Er 3.68-3.69
Er 0.9303 0.8254 0.2771  2 Pm 3.49-3.64, 7 La 3.53-3.89, 2 Er 3.67-3.68


Material: La3Pm6Er
Method: DFT, PBE
State: optimized geometry

SG: Cmc2_1 (36)
Calculated formation energy: 0.17 eV/atom
V: 35.367 Å³ per atom

Unit cell a=10.6224 b=10.6224 c=6.3801 alpha=90.00 beta=90.00 gamma=100.72
Last column: nearest neighbours and their distance in Å.
Fractional positions:
La 0.1358 0.8642 0.5000  8 Pm 3.48-3.87, 1 Er 3.51
La 0.2206 0.3655 0.8630  4 Pm 3.29-3.65, 1 Er 3.55
La 0.3655 0.2206 0.3630  4 Pm 3.29-3.65, 1 Er 3.55
La 0.6345 0.7794 0.8630  4 Pm 3.29-3.65, 1 Er 3.55
La 0.7794 0.6345 0.3630  4 Pm 3.29-3.65, 1 Er 3.55
La 0.8642 0.1358 0.0000  8 Pm 3.48-3.87, 1 Er 3.51
Pm 0.0593 0.1786 0.4841  3 Pm 3.22-3.42, 3 La 3.29-3.58
Pm 0.0667 0.4855 0.3131  4 Pm 3.42-3.63, 1 Er 3.64, 2 La 3.65-3.70
Pm 0.1786 0.0593 0.9841  3 Pm 3.22-3.42, 3 La 3.29-3.58
Pm 0.2419 0.7581 0.0266  1 Er 3.26, 5 Pm 3.31-3.63, 1 La 3.48
Pm 0.4394 0.5606 0.1424  2 Er 3.24-3.51, 1 Pm 3.31, 2 La 3.33
Pm 0.4855 0.0667 0.8131  4 Pm 3.42-3.63, 1 Er 3.64, 2 La 3.65-3.70
Pm 0.5145 0.9333 0.3131  4 Pm 3.42-3.63, 1 Er 3.64, 2 La 3.65-3.70
Pm 0.5606 0.4394 0.6424  2 Er 3.24-3.51, 1 Pm 3.31, 2 La 3.33
Pm 0.7581 0.2419 0.5266  1 Er 3.26, 5 Pm 3.31-3.63, 1 La 3.48
Pm 0.8214 0.9407 0.4841  3 Pm 3.22-3.42, 3 La 3.29-3.58
Pm 0.9333 0.5145 0.8131  4 Pm 3.42-3.63, 1 Er 3.64, 2 La 3.65-3.70
Pm 0.9407 0.8214 0.9841  3 Pm 3.22-3.42, 3 La 3.29-3.58
Er 0.3471 0.6529 0.5917  3 Pm 3.24-3.51, 3 La 3.51-3.55
Er 0.6529 0.3471 0.0917  3 Pm 3.24-3.51, 3 La 3.51-3.55


Material: La6PmEr2
Method: DFT, PBE
State: optimized geometry

SG: P-6m2 (187)
Calculated formation energy: 0.06 eV/atom
Energy relative to the lowest polymorph listed for this composition: 0 meV per atom
V: 35.684 Å³ per atom

Unit cell a=3.6631 b=3.6631 c=27.6373 alpha=90.00 beta=90.00 gamma=120.00
Last column: nearest neighbours and their distance in Å.
Fractional positions:
La 0.0000 0.0000 0.0666  3 Er 3.54, 7 La 3.66-3.68
La 0.0000 0.0000 0.2751  3 Er 3.60, 9 La 3.66-3.82
La 0.0000 0.0000 0.7249  3 Er 3.60, 9 La 3.66-3.82
La 0.0000 0.0000 0.9334  3 Er 3.54, 7 La 3.66-3.68
La 0.3333 0.6667 0.3902  9 La 3.66-3.82, 3 Pm 3.70
La 0.3333 0.6667 0.6098  9 La 3.66-3.82, 3 Pm 3.70
Pm 0.0000 0.0000 0.5000  6 Pm 3.66, 6 La 3.70
Er 0.3333 0.6667 0.1695  6 La 3.54-3.60, 6 Er 3.66
Er 0.3333 0.6667 0.8305  6 La 3.54-3.60, 6 Er 3.66


Material: La4PmEr
Method: DFT, PBE
State: optimized geometry

SG: Cmmm (65)
Calculated formation energy: 0.10 eV/atom
Energy relative to the lowest polymorph listed for this composition: 0 meV per atom
V: 35.562 Å³ per atom

Unit cell a=6.1299 b=11.3779 c=6.1186 alpha=90.00 beta=90.00 gamma=90.00
Last column: nearest neighbours and their distance in Å.
Fractional positions:
La 0.0000 0.1572 0.0000  2 Er 3.54, 3 Pm 3.55-3.90, 5 La 3.58-3.72
La 0.0000 0.3419 0.5000  2 Pm 3.55, 3 Er 3.55-3.89, 5 La 3.60-3.71
La 0.0000 0.6581 0.5000  2 Pm 3.55, 3 Er 3.55-3.89, 5 La 3.60-3.71
La 0.0000 0.8428 0.0000  2 Er 3.54, 3 Pm 3.55-3.90, 5 La 3.58-3.72
La 0.5000 0.1581 0.5000  2 Pm 3.55, 3 Er 3.55-3.89, 5 La 3.60-3.71
La 0.5000 0.3428 0.0000  2 Er 3.54, 3 Pm 3.55-3.90, 5 La 3.58-3.72
La 0.5000 0.6572 0.0000  2 Er 3.54, 3 Pm 3.55-3.90, 5 La 3.58-3.72
La 0.5000 0.8419 0.5000  2 Pm 3.55, 3 Er 3.55-3.89, 5 La 3.60-3.71
Pm 0.0000 0.5000 0.0000  10 La 3.55-3.90
Pm 0.5000 0.0000 0.0000  10 La 3.55-3.90
Er 0.0000 0.0000 0.5000  10 La 3.54-3.89
Er 0.5000 0.5000 0.5000  10 La 3.54-3.89


Material: LaPmEr5
Method: DFT, PBE
State: optimized geometry

SG: C2/c (15)
Calculated formation energy: 0.20 eV/atom
Energy relative to the lowest polymorph listed for this composition: 0 meV per atom
V: 32.762 Å³ per atom

Unit cell a=6.7638 b=6.7638 c=12.0493 alpha=105.98 beta=105.98 gamma=61.44
Last column: nearest neighbours and their distance in Å.
Fractional positions:
La 0.0251 0.9749 0.7500  1 Er 2.99
La 0.9749 0.0251 0.2500  1 Er 2.99
Pm 0.0000 0.5000 0.0000  4 Er 3.28-3.62
Pm 0.5000 0.0000 0.5000  4 Er 3.28-3.62
Er 0.1404 0.4177 0.7459  2 Er 3.01-3.29, 1 Pm 3.28
Er 0.2066 0.6303 0.5016  4 Er 3.29-3.55, 1 La 3.37
Er 0.3697 0.7934 0.9984  4 Er 3.29-3.55, 1 La 3.37
Er 0.4078 0.5922 0.2500  1 La 2.99, 2 Er 3.01
Er 0.4177 0.1404 0.2459  2 Er 3.01-3.29, 1 Pm 3.28
Er 0.5823 0.8596 0.7541  2 Er 3.01-3.29, 1 Pm 3.28
Er 0.5922 0.4078 0.7500  1 La 2.99, 2 Er 3.01
Er 0.6303 0.2066 0.0016  4 Er 3.29-3.55, 1 La 3.37
Er 0.7934 0.3697 0.4984  4 Er 3.29-3.55, 1 La 3.37
Er 0.8596 0.5823 0.2541  2 Er 3.01-3.29, 1 Pm 3.28


Material: La2Pm3Er6
Method: DFT, PBE
State: optimized geometry

SG: I4/mmm (139)
Calculated formation energy: 0.26 eV/atom
Energy relative to the lowest polymorph listed for this composition: 74 meV per atom
V: 34.612 Å³ per atom

Unit cell a=16.9840 b=16.9840 c=16.9840 alpha=163.81 beta=163.81 gamma=22.97
Last column: nearest neighbours and their distance in Å.
Fractional positions:
La 0.0463 0.0463 0.0000  1 La 3.08
La 0.9537 0.9537 0.0000  1 La 3.08
Pm 0.2956 0.2956 0.0000  9 Er 3.41-3.63
Pm 0.5000 0.5000 0.0000  8 La 3.72
Pm 0.7044 0.7044 0.0000  9 Er 3.41-3.63
Er 0.1222 0.6222 0.5000  6 Er 3.34-3.38, 2 La 3.48, 2 Pm 3.63
Er 0.1924 0.1924 0.0000  4 Er 3.34, 5 Pm 3.41-3.43
Er 0.3778 0.8778 0.5000  6 Er 3.34-3.38, 2 La 3.48, 2 Pm 3.63
Er 0.6222 0.1222 0.5000  6 Er 3.34-3.38, 2 La 3.48, 2 Pm 3.63
Er 0.8076 0.8076 0.0000  4 Er 3.34, 5 Pm 3.41-3.43
Er 0.8778 0.3778 0.5000  6 Er 3.34-3.38, 2 La 3.48, 2 Pm 3.63


Material: La3Pm2Er
Method: DFT, PBE
State: optimized geometry

SG: P2_1/m (11)
Calculated formation energy: 0.02 eV/atom
Energy relative to the lowest polymorph listed for this composition: 0 meV per atom
V: 35.020 Å³ per atom

Unit cell a=10.3810 b=3.6770 c=11.0098 alpha=90.00 beta=90.36 gamma=90.00
Last column: nearest neighbours and their distance in Å.
Fractional positions:
La 0.1221 0.2500 0.4159  3 Er 3.63-3.68, 6 La 3.65-3.70, 3 Pm 3.66-3.67
La 0.3706 0.7500 0.9144  2 Er 3.63, 3 Pm 3.64-3.70, 7 La 3.68-3.75
La 0.3756 0.7500 0.2501  7 La 3.68-3.70, 5 Pm 3.68-3.70
La 0.6244 0.2500 0.7499  7 La 3.68-3.70, 5 Pm 3.68-3.70
La 0.6294 0.2500 0.0856  2 Er 3.63, 3 Pm 3.64-3.70, 7 La 3.68-3.75
La 0.8779 0.7500 0.5841  3 Er 3.63-3.68, 6 La 3.65-3.70, 3 Pm 3.66-3.67
Pm 0.1201 0.2500 0.0835  4 Pm 3.59-3.68, 3 Er 3.63-3.67, 5 La 3.66-3.70
Pm 0.3714 0.7500 0.5841  6 La 3.64-3.68, 2 Er 3.66, 4 Pm 3.68-3.74
Pm 0.6286 0.2500 0.4159  6 La 3.64-3.68, 2 Er 3.66, 4 Pm 3.68-3.74
Pm 0.8799 0.7500 0.9165  4 Pm 3.59-3.68, 3 Er 3.63-3.67, 5 La 3.66-3.70
Er 0.1237 0.2500 0.7499  5 La 3.63-3.68, 5 Pm 3.63-3.67, 2 Er 3.68
Er 0.8763 0.7500 0.2501  5 La 3.63-3.68, 5 Pm 3.63-3.67, 2 Er 3.68


Material: La7PmEr4
Method: DFT, PBE
State: optimized geometry

SG: P-1 (2)
Calculated formation energy: 0.02 eV/atom
V: 34.699 Å³ per atom

Unit cell a=6.4164 b=7.3543 c=9.0732 alpha=89.99 beta=76.54 gamma=89.95
Last column: nearest neighbours and their distance in Å.
Fractional positions:
La 0.0000 0.0000 0.0000  4 Er 3.60-3.64, 6 La 3.67-3.68, 2 Pm 3.68
La 0.2210 0.5004 0.3332  6 La 3.61-3.71, 1 Pm 3.63, 5 Er 3.66-3.73
La 0.2825 0.2501 0.6627  6 Er 3.59-3.72, 5 La 3.61-3.71, 1 Pm 3.67
La 0.4975 0.2443 0.0041  7 La 3.59-3.76, 3 Er 3.61-3.67, 2 Pm 3.71-3.73
La 0.5025 0.7557 0.9959  7 La 3.59-3.76, 3 Er 3.61-3.67, 2 Pm 3.71-3.73
La 0.7175 0.7499 0.3373  6 Er 3.59-3.72, 5 La 3.61-3.71, 1 Pm 3.67
La 0.7790 0.4996 0.6668  6 La 3.61-3.71, 1 Pm 3.63, 5 Er 3.66-3.73
Pm 0.0000 0.5000 0.0000  10 La 3.63-3.73, 2 Er 3.65
Er 0.2175 0.0002 0.3367  4 Er 3.57-3.70, 8 La 3.59-3.70
Er 0.2769 0.7563 0.6672  3 Er 3.59-3.70, 8 La 3.60-3.73, 1 Pm 3.65
Er 0.7231 0.2437 0.3328  3 Er 3.59-3.70, 8 La 3.60-3.73, 1 Pm 3.65
Er 0.7825 0.9998 0.6633  4 Er 3.57-3.70, 8 La 3.59-3.70


Material: La5Pm2Er
Method: DFT, PBE
State: optimized geometry

SG: Cmcm (63)
Calculated formation energy: 0.11 eV/atom
V: 36.318 Å³ per atom

Unit cell a=6.7335 b=6.7335 c=16.6339 alpha=90.00 beta=90.00 gamma=129.60
Last column: nearest neighbours and their distance in Å.
Fractional positions:
La 0.0343 0.9657 0.7500  1 Er 3.44, 2 Pm 3.52, 2 La 3.73
La 0.1132 0.8868 0.0533  1 La 3.28, 2 Pm 3.44, 1 Er 3.66
La 0.1132 0.8868 0.4467  1 La 3.28, 2 Pm 3.44, 1 Er 3.66
La 0.4216 0.5784 0.0932  1 Er 3.36, 3 La 3.64-3.76, 1 Pm 3.75
La 0.4216 0.5784 0.4068  1 Er 3.36, 3 La 3.64-3.76, 1 Pm 3.75
La 0.5784 0.4216 0.5932  1 Er 3.36, 3 La 3.64-3.76, 1 Pm 3.75
La 0.5784 0.4216 0.9068  1 Er 3.36, 3 La 3.64-3.76, 1 Pm 3.75
La 0.8868 0.1132 0.5533  1 La 3.28, 2 Pm 3.44, 1 Er 3.66
La 0.8868 0.1132 0.9467  1 La 3.28, 2 Pm 3.44, 1 Er 3.66
La 0.9657 0.0343 0.2500  1 Er 3.44, 2 Pm 3.52, 2 La 3.73
Pm 0.2761 0.7239 0.6343  7 La 3.44-3.81, 2 Er 3.46, 1 Pm 3.85
Pm 0.2761 0.7239 0.8657  7 La 3.44-3.81, 2 Er 3.46, 1 Pm 3.85
Pm 0.7239 0.2761 0.1343  7 La 3.44-3.81, 2 Er 3.46, 1 Pm 3.85
Pm 0.7239 0.2761 0.3657  7 La 3.44-3.81, 2 Er 3.46, 1 Pm 3.85
Er 0.2477 0.7523 0.2500  5 La 3.36-3.66, 4 Pm 3.46
Er 0.7523 0.2477 0.7500  5 La 3.36-3.66, 4 Pm 3.46


Material: La6PmEr
Method: DFT, PBE
State: optimized geometry

SG: P4/mmm (123)
Calculated formation energy: 0.01 eV/atom
V: 35.459 Å³ per atom

Unit cell a=5.2130 b=5.2130 c=10.4383 alpha=90.00 beta=90.00 gamma=90.00
Last column: nearest neighbours and their distance in Å.
Fractional positions:
La 0.0000 0.0000 0.0000  8 La 3.68, 4 Er 3.69
La 0.0000 0.0000 0.5000  4 Pm 3.69, 8 La 3.70
La 0.0000 0.5000 0.2485  8 La 3.68-3.70, 2 Er 3.68, 2 Pm 3.70
La 0.0000 0.5000 0.7515  8 La 3.68-3.70, 2 Er 3.68, 2 Pm 3.70
La 0.5000 0.0000 0.2485  8 La 3.68-3.70, 2 Er 3.68, 2 Pm 3.70
La 0.5000 0.0000 0.7515  8 La 3.68-3.70, 2 Er 3.68, 2 Pm 3.70
Pm 0.5000 0.5000 0.5000  12 La 3.69-3.70
Er 0.5000 0.5000 0.0000  12 La 3.68-3.69